A geometry-optimized SmHfCu2 structure. Source: the Alexandria database, functional PBE.

abc: 4.820 4.820 3.323
angles: 90.00 90.00 90.00
Positions (direct):
Sm: 0.000 0.000 0.000
Hf: 0.500 0.500 0.000
Cu: 0.000 0.500 0.500
Cu: 0.500 0.000 0.500

Crystal system: tetragonal
Total magnetic moment (Bohr magnetons per cell): 0.61
Theoretical density (kg/m3): 9806
Energy above the lowest structure with this stoichiometry (eV per formula unit): 0.32
ΔE_f (eV per atom): -0.041